Entry 1:
TlHgOs2 at its PBEsol-relaxed geometry, computed with SCAN.

Lattice parameters (Å, degrees): 2.834 4.696 11.243 90.00 90.00 90.00
Space group Imm2 (No. 44)
Unique sites:
Tl (0.000, 0.000, 0.000) x2
Hg (0.000, 0.500, 0.802) x2
Os (0.000, 0.000, 0.576) x2
Os (0.000, 0.500, 0.258) x2

Results
- total moment (μB/cell) = 0.00
- E_form (meV per atom) = 966
- excess energy over the best structure of this formula in the dataset (eV/atom) = 0.217
- total DFT energy (no corrections) (eV/atom) = -70.11
- D(E_F) (states/eV/cell) = 6.8

Entry 2:
TlHgOs2 at its PBEsol-relaxed geometry, computed with SCAN.

Lattice parameters (Å, degrees): 5.859 7.894 2.941 90.00 90.00 90.00
Space group Cmmm (No. 65)
Unique sites:
Tl (0.000, 0.000, 0.000) x2
Hg (0.000, 0.500, 0.000) x2
Os (0.250, 0.250, 0.500) x4

Results
- total moment (μB/cell) = 4.99
- E_form (meV per atom) = 1341
- excess energy over the best structure of this formula in the dataset (eV/atom) = 0.592
- total DFT energy (no corrections) (eV/atom) = -69.73
- D(E_F) (states/eV/cell) = 6.1